An optimized crystal structure of InPbIF2, computed with GGA-PBE.

Unit cell a=4.7486 b=4.7487 c=6.8468 alpha=90.00 beta=90.00 gamma=90.00
Last column: nearest neighbours and their distance in Å.
Element x y z (fractional)
In  0.5000  0.5000  0.6732  4 F 2.92
I  0.0000  0.0000  0.4824  2 Pb 3.30-3.55, 4 In 3.60
F  0.5000  0.0000  0.9217  2 Pb 2.44
F  0.0000  0.5000  0.9217  2 Pb 2.44
Pb  0.0000  0.0000  0.0010  4 F 2.44

Values from the calculation:
raw total energy: -3.8925 eV per atom
total moment: 0.00 μB per atom
V: 30.88 A^3/atom


An optimized crystal structure of InRh2IF, computed with GGA-PBE.

Unit cell a=4.3263 b=4.3263 c=5.4616 alpha=90.00 beta=90.00 gamma=90.00
Last column: nearest neighbours and their distance in Å.
Element x y z (fractional)
I  0.0000  0.0000  0.5000  2 F 2.73
Rh  0.5000  0.0000  0.0000  2 F 2.16
Rh  0.0000  0.5000  0.0000  2 F 2.16
F  0.0000  0.0000  0.0000  4 Rh 2.16
In  0.5000  0.5000  0.5000  4 I 3.06

Values from the calculation:
raw total energy: -3.7365 eV per atom
total moment: 0.15 μB per atom
V: 20.44 A^3/atom


An optimized crystal structure of InSbIF2, computed with GGA-PBE.

Unit cell a=4.4786 b=4.4786 c=6.2395 alpha=90.00 beta=90.00 gamma=90.00
Last column: nearest neighbours and their distance in Å.
Element x y z (fractional)
Sb  0.0000  0.0000  0.0000  4 F 2.24
F  0.5000  0.0000  0.0000  2 Sb 2.24
F  0.0000  0.5000  0.0000  2 Sb 2.24
In  0.0000  0.0000  0.5000  2 Sb 3.12, 4 I 3.17
I  0.5000  0.5000  0.5000  4 In 3.17

Values from the calculation:
raw total energy: -3.7506 eV per atom
total moment: 0.00 μB per atom
V: 25.03 A^3/atom


An optimized crystal structure of InSbI2F, computed with GGA-PBE.

Unit cell a=5.8182 b=5.8182 c=5.8673 alpha=90.00 beta=90.00 gamma=90.00
Last column: nearest neighbours and their distance in Å.
Element x y z (fractional)
I  0.5000  0.0000  0.0000  2 In 2.91
I  0.0000  0.5000  0.0000  2 In 2.91
Sb  0.0000  0.0000  0.5000  2 In 2.93
F  0.5000  0.5000  0.5000  4 Sb 4.11, 8 I 4.13
In  0.0000  0.0000  0.0000  4 I 2.91, 2 Sb 2.93

Values from the calculation:
raw total energy: -2.2397 eV per atom
total moment: 0.16 μB per atom
offset from the most stable computed form: 593 meV/atom
V: 39.72 A^3/atom


An optimized crystal structure of InSbI2F, computed with GGA-PBE.

Unit cell a=6.2043 b=6.2043 c=4.2445 alpha=90.00 beta=90.00 gamma=90.00
Last column: nearest neighbours and their distance in Å.
Element x y z (fractional)
Sb  0.0000  0.0000  0.5000  2 F 2.12
I  0.0000  0.5000  0.0000  2 F 3.10
I  0.5000  0.0000  0.0000  2 F 3.10
F  0.0000  0.0000  0.0000  2 Sb 2.12
In  0.5000  0.5000  0.5000  8 I 3.76

Values from the calculation:
raw total energy: -2.8327 eV per atom
total moment: 0.00 μB per atom
offset from the most stable computed form: 0 meV/atom
V: 32.68 A^3/atom


An optimized crystal structure of ScInIF2, computed with GGA-PBE.

Unit cell a=4.4078 b=6.8433 c=4.4078 alpha=90.00 beta=90.00 gamma=90.00
Last column: nearest neighbours and their distance in Å.
Element x y z (fractional)
Sc  0.5000  0.5000  0.5000  4 I 3.12
In  0.0000  0.0000  0.0000  4 F 2.20
F  0.0000  0.0000  0.5000  2 In 2.20
F  0.5000  0.0000  0.0000  2 In 2.20
I  0.0000  0.5000  0.0000  4 Sc 3.12, 2 In 3.42

Values from the calculation:
raw total energy: -3.9853 eV per atom
total moment: 0.31 μB per atom
V: 26.59 A^3/atom


An optimized crystal structure of In2SnI2F2, computed with GGA-PBE.

Unit cell a=4.4545 b=7.1777 c=7.7735 alpha=70.78 beta=73.35 gamma=71.92
Last column: nearest neighbours and their distance in Å.
Element x y z (fractional)
I  0.5684  0.1776  0.6855  2 Sn 3.23
I  0.4316  0.8224  0.3145  2 Sn 3.23
F  0.8062  0.3273  0.0603  1 Sn 2.39, 1 In 2.50
F  0.1938  0.6727  0.9397  1 Sn 2.39, 1 In 2.50
In  0.1809  0.3996  0.2386  3 F 2.50-2.70
In  0.8191  0.6004  0.7614  3 F 2.50-2.70
Sn  0.0000  0.0000  0.0000  2 F 2.39

Values from the calculation:
raw total energy: -3.5205 eV per atom
total moment: 0.00 μB per atom
V: 31.19 A^3/atom


An optimized crystal structure of In2SnIF, computed with GGA-PBE.

Unit cell a=5.9985 b=5.9985 c=4.4929 alpha=90.00 beta=90.00 gamma=90.00
Last column: nearest neighbours and their distance in Å.
Element x y z (fractional)
In  0.5000  0.0000  0.0000  2 Sn 3.00
In  0.0000  0.5000  0.0000  2 Sn 3.00
I  0.5000  0.5000  0.5000  8 In 3.75
F  0.0000  0.0000  0.5000  2 Sn 2.25
Sn  0.0000  0.0000  0.0000  2 F 2.25

Values from the calculation:
raw total energy: -3.2518 eV per atom
total moment: 0.00 μB per atom
V: 32.33 A^3/atom


An optimized crystal structure of InSnIF2, computed with GGA-PBE.

Unit cell a=4.4883 b=4.4883 c=5.9409 alpha=90.00 beta=90.00 gamma=90.00
Last column: nearest neighbours and their distance in Å.
Element x y z (fractional)
F  0.0000  0.5000  0.0000  2 Sn 2.24
F  0.5000  0.0000  0.0000  2 Sn 2.24
I  0.5000  0.5000  0.5000  4 In 3.17
Sn  0.0000  0.0000  0.0000  4 F 2.24
In  0.0000  0.0000  0.5000  2 Sn 2.97, 4 I 3.17

Values from the calculation:
raw total energy: -3.8193 eV per atom
total moment: 0.00 μB per atom
V: 23.94 A^3/atom


An optimized crystal structure of InTeIF2, computed with GGA-PBE.

Unit cell a=4.4353 b=7.1109 c=4.4353 alpha=90.00 beta=90.00 gamma=90.00
Last column: nearest neighbours and their distance in Å.
Element x y z (fractional)
F  0.5000  0.0000  0.0000  2 I 2.22
F  0.0000  0.0000  0.5000  2 I 2.22
In  0.0000  0.5000  0.0000  4 Te 3.14
Te  0.5000  0.5000  0.5000  4 In 3.14
I  0.0000  0.0000  0.0000  4 F 2.22

Values from the calculation:
raw total energy: -2.8335 eV per atom
total moment: 0.00 μB per atom
V: 27.98 A^3/atom


An optimized crystal structure of TiInI2F, computed with GGA-PBE.

Unit cell a=6.0479 b=4.3253 c=6.0479 alpha=90.00 beta=90.00 gamma=90.00
Last column: nearest neighbours and their distance in Å.
Element x y z (fractional)
I  0.5000  0.0000  0.0000  2 In 3.02
I  0.0000  0.0000  0.5000  2 In 3.02
F  0.0000  0.5000  0.0000  2 In 2.16
In  0.0000  0.0000  0.0000  2 F 2.16
Ti  0.5000  0.5000  0.5000  8 I 3.72

Values from the calculation:
raw total energy: -3.4396 eV per atom
total moment: 0.57 μB per atom
V: 31.64 A^3/atom


An optimized crystal structure of TlInI2F, computed with GGA-PBE.

Unit cell a=6.1877 b=6.1877 c=4.4964 alpha=90.00 beta=90.00 gamma=90.00
Last column: nearest neighbours and their distance in Å.
Element x y z (fractional)
Tl  0.5000  0.5000  0.5000  8 I 3.82
F  0.0000  0.0000  0.5000  2 In 2.25
I  0.0000  0.5000  0.0000  2 In 3.09
I  0.5000  0.0000  0.0000  2 In 3.09
In  0.0000  0.0000  0.0000  2 F 2.25

Values from the calculation:
raw total energy: -3.0104 eV per atom
total moment: 0.00 μB per atom
V: 34.43 A^3/atom


An optimized crystal structure of Tl2InIF, computed with GGA-PBE.

Unit cell a=6.5499 b=4.8137 c=6.5499 alpha=90.00 beta=90.00 gamma=90.00
Last column: nearest neighbours and their distance in Å.
Element x y z (fractional)
I  0.0000  0.0000  0.0000  2 F 2.41
Tl  0.0000  0.0000  0.5000  2 I 3.27
Tl  0.5000  0.0000  0.0000  2 I 3.27
In  0.5000  0.5000  0.5000  8 Tl 4.06
F  0.0000  0.5000  0.0000  2 I 2.41

Values from the calculation:
raw total energy: -2.3436 eV per atom
total moment: 0.00 μB per atom
V: 41.30 A^3/atom